No. 1
The following is a DFT calculation (PBE) of BaPHIr after structural relaxation.

Its space group is P4/nmm. The total moment comes out at 0.0 μB per formula unit. The electronic total energy is -5.600 eV per atom. For the density of states at the Fermi level, the calculation gives 0.430 states/eV/atom.

Cell lengths 4.0377, 4.0377, 9.5350 Å; angles 90.00, 90.00, 90.00 degrees
Element x y z (fractional)
Ba (0.2500, 0.2500, 0.1711)
Ba (0.7500, 0.7500, 0.8289)
P (0.2500, 0.2500, 0.6347)
P (0.7500, 0.7500, 0.3653)
H (0.2500, 0.7500, 0.0000)
H (0.7500, 0.2500, 0.0000)
Ir (0.2500, 0.7500, 0.5000)
Ir (0.7500, 0.2500, 0.5000)

***

No. 2
The following is a DFT calculation (PBE) of PmAlC after structural relaxation.

Its formation energy is -0.1460 eV per atom. Its space group is P-6m2. The total moment comes out at 0.0 μB per formula unit. For the density of states at the Fermi level, the calculation gives 0.212 states/eV/atom. The value obtained for the relative energy among the computed polymorphs is 0.075 eV/atom.

Cell lengths 3.5507, 3.5507, 4.4448 Å; angles 90.00, 90.00, 120.00 degrees
Element x y z (fractional)
Pm (0.0000, 0.0000, 0.0000)
Al (0.3333, 0.6667, 0.5000)
C (0.6667, 0.3333, 0.5000)

***

No. 3
The following is a DFT calculation (PBE) of ZnTe3As after structural relaxation.

For the formation energy from raw total energies, the calculation gives 0.54 eV per atom. Its space group is Pm-3m. The total moment comes out at 0.0 μB per formula unit. For the density of states at the Fermi level, the calculation gives 0.973 states/eV/atom. The value obtained for the relative energy among the computed polymorphs is 0.000 eV/atom.

Cell lengths 5.4689, 5.4689, 5.4689 Å; angles 90.00, 90.00, 90.00 degrees
Element x y z (fractional)
Zn (0.0000, 0.0000, 0.0000)
Te (0.0000, 0.5000, 0.5000)
Te (0.5000, 0.0000, 0.5000)
Te (0.5000, 0.5000, 0.0000)
As (0.5000, 0.5000, 0.5000)

***

Q: Which value of total moment does entry 2 give?
A: 0.0 μB per formula unit

***

What did the third record say?
The following is a DFT calculation (PBE) of ZnTe3As after structural relaxation.

For the formation energy from raw total energies, the calculation gives 0.54 eV per atom. Its space group is Pm-3m. The total moment comes out at 0.0 μB per formula unit. For the density of states at the Fermi level, the calculation gives 0.973 states/eV/atom. The value obtained for the relative energy among the computed polymorphs is 0.000 eV/atom.

Cell lengths 5.4689, 5.4689, 5.4689 Å; angles 90.00, 90.00, 90.00 degrees
Element x y z (fractional)
Zn (0.0000, 0.0000, 0.0000)
Te (0.0000, 0.5000, 0.5000)
Te (0.5000, 0.0000, 0.5000)
Te (0.5000, 0.5000, 0.0000)
As (0.5000, 0.5000, 0.5000)

***

Q: Look up the total moment of the first one.
A: 0.0 μB per formula unit

***

Q: total moment of number 3 (ZnTe3As)?
A: 0.0 μB per formula unit